The following is a DFT calculation (SCAN) of CdRh4 at its PBEsol-relaxed geometry.

Computed properties:
* energy: -165.32 eV for the cell shown
* Fermi-level density of states: 4.58 states/eV/cell
* space-group type: I4/m, No. 87

Lattice parameters (Å, degrees): 4.734 4.734 4.734 99.44 99.44 132.23
Element x y z (fractional)
Cd 0.000 0.000 0.000
Rh 0.190 0.598 0.788
Rh 0.402 0.190 0.592
Rh 0.598 0.810 0.408
Rh 0.810 0.402 0.212

***

The following is a DFT calculation (SCAN) of NiIrRh at its PBEsol-relaxed geometry.

Computed properties:
* energy: -120.95 eV for the cell shown
* Fermi-level density of states: 3.18 states/eV/cell
* space-group type: I4mm, No. 107

Lattice parameters (Å, degrees): 5.695 5.695 5.695 152.92 152.92 38.67
Element x y z (fractional)
Ni 0.000 0.000 0.000
Ir 0.339 0.339 0.000
Rh 0.665 0.665 0.000

***

The following is a DFT calculation (SCAN) of Na4Li5W10O30 at its PBEsol-relaxed geometry.

Computed properties:
* energy: -1021.00 eV for the cell shown
* Fermi-level density of states: 8.48 states/eV/cell
* space-group type: P1, No. 1

Lattice parameters (Å, degrees): 8.656 8.660 8.663 66.40 89.89 78.32
Element x y z (fractional)
Na 0.000 0.000 0.000
Na 0.084 0.489 0.197
Na 0.797 0.002 0.597
Na 0.894 0.491 0.799
Li 0.258 0.489 0.505
Li 0.313 0.999 0.839
Li 0.408 0.495 0.051
Li 0.674 0.631 0.348
Li 0.690 0.011 0.144
W 0.049 0.245 0.598
W 0.152 0.746 0.796
W 0.252 0.244 0.001
W 0.352 0.747 0.203
W 0.453 0.238 0.402
W 0.546 0.745 0.603
W 0.645 0.251 0.795
W 0.749 0.746 0.995
W 0.850 0.248 0.200
W 0.951 0.747 0.403
O 0.009 0.496 0.501
O 0.046 0.748 0.602
O 0.050 0.244 0.098
O 0.104 0.996 0.705
O 0.150 0.744 0.301
O 0.152 0.241 0.802
O 0.200 0.496 0.905
O 0.251 0.250 0.501
O 0.257 0.746 0.998
O 0.302 0.994 0.093
O 0.350 0.745 0.700
O 0.351 0.251 0.196
O 0.393 0.494 0.299
O 0.449 0.248 0.898
O 0.454 0.738 0.402
O 0.502 0.994 0.499
O 0.552 0.243 0.600
O 0.554 0.737 0.107
O 0.602 0.495 0.702
O 0.650 0.246 0.299
O 0.652 0.750 0.797
O 0.699 0.996 0.907
O 0.750 0.241 0.001
O 0.750 0.738 0.501
O 0.806 0.496 0.095
O 0.844 0.745 0.203
O 0.851 0.244 0.701
O 0.891 0.996 0.297
O 0.950 0.246 0.399
O 0.950 0.750 0.900

***

The following is a DFT calculation (SCAN) of TcSeBr2Cl at its PBEsol-relaxed geometry.

Computed properties:
* energy: -101.21 eV for the cell shown
* Fermi-level density of states: 4.47 states/eV/cell
* space-group type: P4/mmm, No. 123

Lattice parameters (Å, degrees): 4.976 4.976 4.706 90.00 90.00 90.00
Element x y z (fractional)
Tc 0.000 0.000 0.000
Se 0.000 0.000 0.500
Br 0.000 0.500 0.000
Br 0.500 0.000 0.000
Cl 0.500 0.500 0.500